Material: TmLuFe
Method: DFT, PBE-GGA
State: optimized geometry

```
TmLuFe
1.0
3.217 0.715 3.189
-0.867 2.769 3.552
-0.510 -1.756 4.206
Fe Lu Tm
1 1 1
direct
0.000 0.000 0.000 Fe
0.250 0.250 0.250 Lu
0.750 0.750 0.750 Tm
```

Results
Its density is 9.73 Mg/m³. As for the formation energy: 0.1632 eV/atom. Its total energy is -5.606 eV per atom. The symmetry is F-43m.